A relaxed PmSc5Rh6 crystal, computed with GGA-PBE.

a b c (Å): 4.5834 6.7165 13.7793
angles (deg): 90.00 90.00 90.00
Last column: nearest neighbours and their distance in Å.
Space group Immm (No. 71)
One atom of each set of equivalent atoms:
Pm 0.0000 0.0000 0.0000 (multiplicity 2)  8 Rh 2.90-2.91
Sc 0.0000 0.0000 0.3331 (multiplicity 4)  8 Rh 2.79-2.83
Sc 0.0000 0.5000 0.0000 (multiplicity 2)  8 Rh 2.78-2.86
Sc 0.0000 0.5000 0.3280 (multiplicity 4)  8 Rh 2.72-2.96
Rh 0.0000 0.2349 0.5000 (multiplicity 4)  6 Sc 2.78-2.96, 2 Pm 2.90
Rh 0.0000 0.2570 0.1703 (multiplicity 8)  7 Sc 2.72-2.87, 1 Pm 2.91

Output
**Raw total energy**: -183.37 eV/cell
**Formation enthalpy at 0 K**: -0.93 eV per atom
**Total magnetic moment**: 0.00 μB per formula unit